Entry 1:
First-principles (PBE) data for a relaxed SrP2Pb crystal, as listed in the Alexandria database.

```
SrP2Pb
1.0
4.887 0.000 0.000
0.000 4.287 0.021
0.000 0.742 5.025
P Pb Sr
2 1 1
Cartesian
0.000 0.478 0.189
2.443 0.862 1.248
0.000 2.490 1.974
2.443 3.714 4.158
```

Summary:
- space group = Pm

---

Entry 2:
First-principles (PBE) data for a relaxed SrPPb2 crystal, as listed in the Alexandria database.

```
SrPPb2
1.0
4.031 0.000 0.000
0.000 4.031 0.000
0.000 0.000 7.072
Sr P Pb
1 1 2
Cartesian
2.016 2.016 0.000
2.016 2.016 3.536
0.000 0.000 4.992
0.000 0.000 2.080
```

Summary:
- space group = P4/mmm

---

Entry 3:
First-principles (PBE) data for a relaxed SrP2Pb crystal, as listed in the Alexandria database.

```
SrP2Pb
1.0
-2.842 -5.113 0.078
0.815 -5.309 -2.320
2.513 -0.416 3.867
P Pb Sr
2 1 1
Cartesian
2.384 -0.914 3.712
0.386 -2.468 0.791
-0.152 -5.138 0.188
0.622 -8.154 1.614
```

Summary:
- space group = Cm

---

Entry 4:
First-principles (PBE) data for a relaxed Sr2PPb crystal, as listed in the Alexandria database.

```
Sr2PPb
1.0
4.639 0.000 0.000
0.000 4.639 0.000
0.000 0.000 6.520
Sr P Pb
2 1 1
Cartesian
0.000 0.000 5.720
2.320 2.320 2.435
0.000 0.000 2.458
2.320 2.320 5.688
```

Summary:
- relative energy among the computed polymorphs (eV/f.u.) = 1.42
- space group = P4mm

---

Entry 5:
First-principles (PBE) data for a relaxed SrPPb2 crystal, as listed in the Alexandria database.

```
SrPPb2
1.0
0.000 3.859 3.859
3.859 0.000 3.859
3.859 3.859 0.000
Sr P Pb
1 1 2
Cartesian
1.929 1.929 1.929
3.859 3.859 3.859
0.000 0.000 0.000
5.788 5.788 5.788
```

Summary:
- space group = F-43m

---

Entry 6:
First-principles (PBE) data for a relaxed SrP2Pb crystal, as listed in the Alexandria database.

```
SrP2Pb
1.0
4.022 0.000 0.000
0.000 4.022 0.000
0.000 0.000 6.285
P Pb Sr
2 1 1
Cartesian
0.000 0.000 0.390
0.000 0.000 2.753
2.011 2.011 1.571
2.011 2.011 4.713
```

Summary:
- space group = P4/mmm

---

Entry 7:
First-principles (PBE) data for a relaxed SrP3Pb crystal, as listed in the Alexandria database.

```
SrP3Pb
1.0
-1.992 -0.529 4.822
-0.869 -5.089 -0.918
4.772 -1.148 1.846
Pb Sr P
1 1 3
Cartesian
0.000 0.000 0.000
0.955 -3.383 2.875
-0.435 -2.545 -0.459
2.386 -0.574 0.923
-0.996 -0.265 2.411
```

Summary:
- relative energy among the computed polymorphs (eV/f.u.) = 0.00
- space group = Pm-3m

---

Entry 8:
First-principles (PBE) data for a relaxed Sr2PPb crystal, as listed in the Alexandria database.

```
Sr2PPb
1.0
8.734 0.000 0.000
0.000 8.734 0.000
4.367 4.367 3.556
Pb Sr P
2 4 2
Cartesian
0.000 0.000 0.000
8.734 4.367 1.778
6.094 2.183 0.889
2.640 6.550 0.889
6.550 7.007 2.667
10.917 10.461 2.667
4.367 4.367 0.000
4.367 8.734 1.778
```

Summary:
- relative energy among the computed polymorphs (eV/f.u.) = 0.80
- space group = I-42d

---

Entry 9:
First-principles (PBE) data for a relaxed Sr2TcPPb crystal, as listed in the Alexandria database.

```
Sr2TcPPb
1.0
-3.561 -2.371 -4.422
-1.905 -3.403 3.359
-4.471 3.960 1.477
Pb Sr Tc P
1 2 1 1
Cartesian
0.000 0.000 0.000
-2.235 1.980 0.739
-1.781 -1.185 -2.211
-0.952 -1.702 1.680
-4.968 -0.907 0.207
```

Summary:
- space group = P4/mmm

---

Entry 10:
First-principles (PBE) data for a relaxed Sr2VPPb crystal, as listed in the Alexandria database.

```
Sr2VPPb
1.0
6.197 0.000 0.000
0.000 6.197 0.000
0.000 0.000 5.080
Pb Sr P V
1 2 1 1
Cartesian
0.000 0.000 0.000
0.000 3.099 0.000
3.099 0.000 0.000
0.000 0.000 2.540
3.099 3.099 2.540
```

Summary:
- space group = P4/mmm

---

Entry 11:
First-principles (PBE) data for a relaxed SrYP2Pb crystal, as listed in the Alexandria database.

```
SrYP2Pb
1.0
-3.978 -0.616 3.628
3.929 -1.166 4.110
0.293 5.273 1.216
Pb Y P Sr
1 1 2 1
Cartesian
1.965 -0.583 2.055
0.000 0.000 0.000
0.147 2.636 0.608
-1.989 -0.308 1.814
0.122 1.745 4.477
```

Summary:
- space group = P4/mmm

---

Entry 12:
First-principles (PBE) data for a relaxed TaPPb2 crystal, as listed in the Alexandria database.

```
TaPPb2
1.0
-1.749 1.741 8.220
1.749 -1.741 8.220
1.749 1.741 -8.220
Ta P Pb
1 1 2
Cartesian
1.749 0.000 0.000
0.000 1.741 0.000
0.000 0.000 10.967
0.000 0.000 5.474
```

Summary:
- space group = Immm

---

Entry 13:
First-principles (PBE) data for a relaxed TaPPb crystal, as listed in the Alexandria database.

```
TaPPb
1.0
1.842 1.802 3.683
-2.418 2.748 2.608
-1.330 -1.359 4.073
Ta P Pb
1 1 1
Cartesian
-0.953 1.595 5.182
-0.477 0.798 2.591
0.000 0.000 0.000
```

Summary:
- relative energy among the computed polymorphs (eV/f.u.) = 2.18
- space group = F-43m

---

Entry 14:
First-principles (PBE) data for a relaxed Ta2PPb crystal, as listed in the Alexandria database.

```
Ta2PPb
1.0
4.333 2.980 -0.004
-4.333 2.980 -0.004
0.000 1.099 2.925
Ta P Pb
2 1 1
Cartesian
-2.167 1.490 -0.002
2.167 1.490 -0.002
0.000 0.549 1.462
0.000 3.529 1.458
```

Summary:
- relative energy among the computed polymorphs (eV/f.u.) = 2.51
- space group = C2/m

---

Entry 15:
First-principles (PBE) data for a relaxed TaPPb crystal, as listed in the Alexandria database.

```
TaPPb
1.0
1.675 -2.902 0.000
1.675 2.902 0.000
0.000 0.000 6.555
Ta P Pb
1 1 1
Cartesian
1.675 0.967 4.699
0.000 0.000 6.197
1.675 -0.967 2.214
```

Summary:
- relative energy among the computed polymorphs (eV/f.u.) = 0.27
- space group = P3m1

---

Entry 16:
First-principles (PBE) data for a relaxed Ta2PPb crystal, as listed in the Alexandria database.

```
Ta2PPb
1.0
-3.235 -2.223 -2.695
0.806 -2.761 1.309
-3.226 -0.653 4.411
Ta P Pb
2 1 1
Cartesian
-0.121 -0.142 0.262
-2.192 -2.451 0.447
-1.059 -1.254 2.306
-3.493 -3.496 2.871
```

Summary:
- relative energy among the computed polymorphs (eV/f.u.) = 0.96
- space group = Pm

---

Entry 17:
First-principles (PBE) data for a relaxed TaPPb2 crystal, as listed in the Alexandria database.

```
TaPPb2
1.0
3.318 0.000 0.000
0.000 3.318 0.000
0.000 0.000 8.626
Ta P Pb
1 1 2
Cartesian
0.000 0.000 4.930
1.659 1.659 5.847
0.000 0.000 8.158
1.659 1.659 2.629
```

Summary:
- space group = P4mm

---

Entry 18:
First-principles (PBE) data for a relaxed Ta2PPb crystal, as listed in the Alexandria database.

```
Ta2PPb
1.0
-2.037 2.037 4.500
2.037 -2.037 4.500
2.037 2.037 -4.500
Ta P Pb
2 1 1
Cartesian
0.000 0.000 0.000
2.037 0.000 2.250
0.000 0.000 4.500
0.000 2.037 2.250
```

Summary:
- relative energy among the computed polymorphs (eV/f.u.) = 2.66
- space group = I-4m2

---

Entry 19:
First-principles (PBE) data for a relaxed TaPPb2 crystal, as listed in the Alexandria database.

```
TaPPb2
1.0
4.113 4.601 -1.058
-1.061 5.843 1.986
0.783 -6.060 1.370
Ta P Pb
1 1 2
Cartesian
1.666 5.701 0.506
3.072 1.406 0.345
2.986 10.219 0.908
0.689 2.724 1.930
```

Summary:
- space group = Imm2

---

Entry 20:
First-principles (PBE) data for a relaxed TaPPb2 crystal, as listed in the Alexandria database.

```
TaPPb2
1.0
5.725 -0.329 -0.168
2.622 -0.432 5.085
-3.934 -2.538 -3.317
Ta P Pb
1 1 2
Cartesian
-0.656 -1.485 0.884
0.896 -1.433 -1.743
6.110 -0.557 3.598
2.238 -0.204 1.318
```

Summary:
- space group = Immm

---

Entry 21:
First-principles (PBE) data for a relaxed TaPPb crystal, as listed in the Alexandria database.

```
TaPPb
1.0
3.362 -4.804 0.698
-1.070 -5.324 2.320
-1.834 4.274 -3.640
Ta P Pb
1 1 1
Cartesian
1.436 -6.346 1.891
0.097 -0.429 0.128
0.759 -3.354 0.999
```

Summary:
- relative energy among the computed polymorphs (eV/f.u.) = 0.00
- space group = I4mm

---

Entry 22:
First-principles (PBE) data for a relaxed TaPPb2 crystal, as listed in the Alexandria database.

```
TaPPb2
1.0
1.595 -2.762 0.000
1.595 2.762 0.000
0.000 0.000 21.401
Ta P Pb
2 2 4
Cartesian
1.595 -0.921 5.350
1.595 0.921 16.051
0.000 0.000 0.000
0.000 0.000 10.701
0.000 0.000 7.844
0.000 0.000 18.545
0.000 0.000 13.557
0.000 0.000 2.856
```

Summary:
- space group = P6_3/mmc

---

Entry 23:
First-principles (PBE) data for a relaxed TaPPb2 crystal, as listed in the Alexandria database.

```
TaPPb2
1.0
3.112 0.000 0.000
0.000 4.938 0.000
0.000 0.000 5.857
Ta P Pb
1 1 2
Cartesian
1.556 2.469 0.000
1.556 2.469 2.929
0.000 0.000 4.386
0.000 0.000 1.471
```

Summary:
- space group = Pmmm

---

Entry 24:
First-principles (PBE) data for a relaxed Ta2PPb crystal, as listed in the Alexandria database.

```
Ta2PPb
1.0
3.165 0.000 0.000
0.000 3.178 -0.043
0.000 0.785 7.456
Ta P Pb
2 1 1
Cartesian
0.000 0.368 2.342
0.000 3.595 5.072
1.583 1.981 3.707
1.583 1.589 -0.022
```

Summary:
- relative energy among the computed polymorphs (eV/f.u.) = 0.44
- space group = P2/m

---

Entry 25:
First-principles (PBE) data for a relaxed TaPPb2 crystal, as listed in the Alexandria database.

```
TaPPb2
1.0
2.025 -5.286 0.000
2.025 5.286 0.000
0.000 0.000 4.256
Ta P Pb
1 1 2
Cartesian
2.025 -1.946 0.000
2.025 -0.641 2.128
2.025 -4.965 0.000
2.025 2.310 2.128
```

Summary:
- space group = Amm2

---

Entry 26:
First-principles (PBE) data for a relaxed TaPPb2 crystal, as listed in the Alexandria database.

```
TaPPb2
1.0
3.939 0.000 0.000
0.000 3.939 0.000
0.000 0.000 5.768
Ta P Pb
1 1 2
Cartesian
1.969 1.969 0.000
1.969 1.969 2.884
0.000 0.000 4.314
0.000 0.000 1.454
```

Summary:
- space group = P4/mmm

---

Entry 27:
First-principles (PBE) data for a relaxed TaPPb2 crystal, as listed in the Alexandria database.

```
TaPPb2
1.0
-1.859 2.568 -0.345
1.529 -1.212 -2.522
-8.390 -6.349 -2.034
Ta P Pb
1 1 2
Cartesian
-3.795 -3.127 -2.814
-0.730 1.308 -1.071
-2.967 -0.385 -1.613
-6.882 -3.348 -2.563
```

Summary:
- space group = P-6m2

---

Entry 28:
First-principles (PBE) data for a relaxed Ta2PPb crystal, as listed in the Alexandria database.

```
Ta2PPb
1.0
6.439 -2.669 -1.030
5.690 -1.777 3.756
-6.942 -0.073 -1.205
Ta P Pb
2 1 1
Cartesian
11.993 -4.397 2.696
1.422 -1.676 1.736
6.555 -2.403 1.473
3.410 -2.713 -0.294
```

Summary:
- relative energy among the computed polymorphs (eV/f.u.) = 0.44
- space group = Imm2

---

Entry 29:
First-principles (PBE) data for a relaxed Ta2PPb crystal, as listed in the Alexandria database.

```
Ta2PPb
1.0
1.789 -2.405 0.000
1.789 2.405 0.000
0.000 0.000 10.084
Ta P Pb
2 1 1
Cartesian
0.000 0.000 9.708
1.789 0.000 7.513
0.000 0.000 5.766
1.789 0.000 2.223
```

Summary:
- relative energy among the computed polymorphs (eV/f.u.) = 0.82
- space group = Cmm2

---

Entry 30:
First-principles (PBE) data for a relaxed Ta2PPb crystal, as listed in the Alexandria database.

```
Ta2PPb
1.0
3.384 0.000 0.000
0.000 3.384 0.000
0.000 0.000 6.837
Ta P Pb
2 1 1
Cartesian
0.000 0.000 0.265
1.692 1.692 1.951
0.000 0.000 2.863
1.692 1.692 5.177
```

Summary:
- relative energy among the computed polymorphs (eV/f.u.) = 0.00
- space group = P4mm

---

Number 1: DFT total energy -4.34 eV per atom, magnetic moment 0.00 μB/f.u., DOS(E_F) 0.1558 states/eV per atom. Number 2: DFT total energy -3.66 eV per atom, magnetic moment 0.00 μB/f.u., DOS(E_F) 0.4238 states/eV per atom. Number 3: DFT total energy -4.51 eV per atom, magnetic moment 0.00 μB/f.u., DOS(E_F) 0.0600 states/eV per atom. Number 4: DFT total energy -3.43 eV per atom, magnetic moment 0.52 μB/f.u., DOS(E_F) 1.6753 states/eV per atom. Number 5: DFT total energy -3.74 eV per atom, magnetic moment 0.00 μB/f.u., DOS(E_F) 0.7153 states/eV per atom. Number 6: DFT total energy -4.28 eV per atom, magnetic moment 0.00 μB/f.u., DOS(E_F) 0.4866 states/eV per atom. Number 7: DFT total energy -3.82 eV per atom, magnetic moment 0.00 μB/f.u., DOS(E_F) 1.2500 states/eV per atom. Number 8: DFT total energy -3.58 eV per atom, magnetic moment 0.00 μB/f.u., DOS(E_F) 0.5461 states/eV per atom. Number 9: DFT total energy -3.74 eV per atom, magnetic moment 3.27 μB/f.u., DOS(E_F) 0.9462 states/eV per atom. Number 10: DFT total energy -3.21 eV per atom, magnetic moment 0.06 μB/f.u., DOS(E_F) 1.3300 states/eV per atom. Number 11: DFT total energy -4.67 eV per atom, magnetic moment 0.00 μB/f.u., DOS(E_F) 1.0618 states/eV per atom. Number 12: DFT total energy -6.11 eV per atom, magnetic moment 0.00 μB/f.u., DOS(E_F) 0.7564 states/eV per atom. Number 13: DFT total energy -6.36 eV per atom, magnetic moment 0.00 μB/f.u., DOS(E_F) 0.6399 states/eV per atom. Number 14: DFT total energy -7.71 eV per atom, magnetic moment 0.00 μB/f.u., DOS(E_F) 0.6367 states/eV per atom. Number 15: DFT total energy -7.00 eV per atom, magnetic moment 0.00 μB/f.u., DOS(E_F) 0.3373 states/eV per atom. Number 16: DFT total energy -8.10 eV per atom, magnetic moment 0.00 μB/f.u., DOS(E_F) 0.4833 states/eV per atom. Number 17: DFT total energy -6.27 eV per atom, magnetic moment 0.00 μB/f.u., DOS(E_F) 0.3739 states/eV per atom. Number 18: DFT total energy -7.67 eV per atom, magnetic moment 0.00 μB/f.u., DOS(E_F) 0.8620 states/eV per atom. Number 19: DFT total energy -5.88 eV per atom, magnetic moment 0.00 μB/f.u., DOS(E_F) 0.7186 states/eV per atom. Number 20: DFT total energy -5.50 eV per atom, magnetic moment 0.00 μB/f.u., DOS(E_F) 0.7366 states/eV per atom. Number 21: DFT total energy -7.09 eV per atom, magnetic moment 0.00 μB/f.u., DOS(E_F) 0.8176 states/eV per atom. Number 22: DFT total energy -5.49 eV per atom, magnetic moment 0.00 μB/f.u., DOS(E_F) 0.5001 states/eV per atom. Number 23: DFT total energy -5.46 eV per atom, magnetic moment 0.00 μB/f.u., DOS(E_F) 0.6076 states/eV per atom. Number 24: DFT total energy -8.23 eV per atom, magnetic moment 0.00 μB/f.u., DOS(E_F) 0.4569 states/eV per atom. Number 25: DFT total energy -5.98 eV per atom, magnetic moment 0.00 μB/f.u., DOS(E_F) 0.5584 states/eV per atom. Number 26: DFT total energy -5.52 eV per atom, magnetic moment 0.00 μB/f.u., DOS(E_F) 0.6893 states/eV per atom. Number 27: DFT total energy -5.48 eV per atom, magnetic moment 0.00 μB/f.u., DOS(E_F) 0.6098 states/eV per atom. Number 28: DFT total energy -8.23 eV per atom, magnetic moment 0.00 μB/f.u., DOS(E_F) 0.6501 states/eV per atom. Number 29: DFT total energy -8.13 eV per atom, magnetic moment 0.00 μB/f.u., DOS(E_F) 0.4916 states/eV per atom. Number 30: DFT total energy -8.34 eV per atom, magnetic moment 0.00 μB/f.u., DOS(E_F) 1.0443 states/eV per atom.